1.
Entry from Alexandria via LeMat-Bulk: a relaxed structure of RbTiIr3 (GGA-PBE).

Structure (POSCAR):
```
RbTiIr3
1.0
4.775 0.000 0.000
0.000 4.775 0.000
0.000 0.000 4.775
Rb Ti Ir
1 1 3
direct
0.000 0.000 0.000
0.500 0.500 0.500
0.000 0.500 0.500
0.500 0.000 0.500
0.500 0.500 0.000
```

## Properties
**Formation energy from the elements**: 5.331 eV/f.u.

2.
Entry from Alexandria via LeMat-Bulk: a relaxed structure of RbTiIr2 (GGA-PBE).

Structure (POSCAR):
```
RbTiIr2
1.0
0.000 3.333 3.333
3.333 0.000 3.333
3.333 3.333 0.000
Rb Ti Ir
1 1 2
direct
0.000 0.000 0.000
0.500 0.500 0.500
0.250 0.250 0.250
0.750 0.750 0.750
```

## Properties
**Formation energy from the elements**: 3.502 eV/f.u.

3.
Entry from Alexandria via LeMat-Bulk: a relaxed structure of Rb2TiIr (GGA-PBE).

Structure (POSCAR):
```
Rb2TiIr
1.0
0.000 3.925 3.925
3.925 0.000 3.925
3.925 3.925 0.000
Rb Ti Ir
2 1 1
direct
0.250 0.250 0.250
0.750 0.750 0.750
0.000 0.000 0.000
0.500 0.500 0.500
```

## Properties
**Formation energy from the elements**: 6.613 eV/f.u.

4.
Entry from Alexandria via LeMat-Bulk: a relaxed structure of RbTiIr2 (GGA-PBE).

Structure (POSCAR):
```
RbTiIr2
1.0
-2.644 2.644 8.037
2.644 -2.644 8.037
2.644 2.644 -8.037
Rb Ti Ir
2 2 4
direct
0.375 0.625 0.750
0.625 0.375 0.250
0.125 0.875 0.250
0.875 0.125 0.750
0.000 0.000 0.000
0.000 0.000 0.500
0.000 0.500 0.000
0.500 0.000 0.500
```

## Properties
**Formation energy from the elements**: 2.493 eV/f.u.

5.
Entry from Alexandria via LeMat-Bulk: a relaxed structure of RbTi2Ir (GGA-PBE).

Structure (POSCAR):
```
RbTi2Ir
1.0
-2.888 2.888 7.912
2.888 -2.888 7.912
2.888 2.888 -7.912
Rb Ti Ir
2 4 2
direct
0.375 0.625 0.750
0.625 0.375 0.250
0.000 0.000 0.000
0.000 0.000 0.500
0.000 0.500 0.000
0.500 0.000 0.500
0.125 0.875 0.250
0.875 0.125 0.750
```

## Properties
**Formation energy from the elements**: 3.380 eV/f.u.

6.
Entry from Alexandria via LeMat-Bulk: a relaxed structure of RbTiIr3 (GGA-PBE).

Structure (POSCAR):
```
RbTiIr3
1.0
4.762 0.000 0.000
0.000 4.762 0.000
0.000 0.000 4.762
Rb Ti Ir
1 1 3
direct
0.000 0.000 0.000
0.500 0.500 0.500
0.000 0.000 0.500
0.000 0.500 0.000
0.500 0.000 0.000
```

## Properties
**Formation energy from the elements**: 14.824 eV/f.u.

7.
Entry from Alexandria via LeMat-Bulk: a relaxed structure of RbTiTlIr2 (GGA-PBE).

Structure (POSCAR):
```
RbTiTlIr2
1.0
5.174 0.000 0.000
0.000 5.174 0.000
0.000 0.000 5.122
Rb Ti Tl Ir
1 1 1 2
direct
0.000 0.000 0.000
0.500 0.500 0.000
0.500 0.500 0.500
0.000 0.500 0.500
0.500 0.000 0.500
```

## Properties
**Formation energy from the elements**: 8.278 eV/f.u.

8.
Entry from Alexandria via LeMat-Bulk: a relaxed structure of RbTlIr3 (GGA-PBE).

Structure (POSCAR):
```
RbTlIr3
1.0
5.149 0.000 0.000
0.000 5.149 0.000
0.000 0.000 5.149
Rb Tl Ir
1 1 3
direct
0.000 0.000 0.000
0.500 0.500 0.500
0.000 0.500 0.500
0.500 0.000 0.500
0.500 0.500 0.000
```

## Properties
**Formation energy from the elements**: 9.928 eV/f.u.

9.
Entry from Alexandria via LeMat-Bulk: a relaxed structure of Rb3TlIr (GGA-PBE).

Structure (POSCAR):
```
Rb3TlIr
1.0
6.391 0.000 0.000
0.000 6.391 0.000
0.000 0.000 6.391
Rb Tl Ir
3 1 1
direct
0.000 0.000 0.500
0.000 0.500 0.000
0.500 0.000 0.000
0.500 0.500 0.500
0.000 0.000 0.000
```

## Properties
**Formation energy from the elements**: 3.788 eV/f.u.

10.
Entry from Alexandria via LeMat-Bulk: a relaxed structure of RbTlIr3 (GGA-PBE).

Structure (POSCAR):
```
RbTlIr3
1.0
4.996 0.000 0.000
0.000 4.996 0.000
0.000 0.000 4.996
Rb Tl Ir
1 1 3
direct
0.000 0.000 0.000
0.500 0.500 0.500
0.000 0.000 0.500
0.000 0.500 0.000
0.500 0.000 0.000
```

## Properties
**Formation energy from the elements**: 15.027 eV/f.u.

11.
Entry from Alexandria via LeMat-Bulk: a relaxed structure of RbTl2Ir (GGA-PBE).

Structure (POSCAR):
```
RbTl2Ir
1.0
0.000 3.738 3.738
3.738 0.000 3.738
3.738 3.738 0.000
Rb Tl Ir
1 2 1
direct
0.000 0.000 0.000
0.250 0.250 0.250
0.750 0.750 0.750
0.500 0.500 0.500
```

## Properties
**Formation energy from the elements**: 2.246 eV/f.u.

12.
Entry from Alexandria via LeMat-Bulk: a relaxed structure of RbTl2Ir (GGA-PBE).

Structure (POSCAR):
```
RbTl2Ir
1.0
-3.337 3.337 7.976
3.337 -3.337 7.976
3.337 3.337 -7.976
Rb Tl Ir
2 4 2
direct
0.000 0.000 0.000
0.750 0.250 0.500
0.374 0.625 0.249
0.375 0.624 0.749
0.376 0.125 0.751
0.875 0.626 0.251
0.250 0.750 0.500
0.500 0.500 0.000
```

## Properties
**Formation energy from the elements**: 1.092 eV/f.u.

13.
Entry from Alexandria via LeMat-Bulk: a relaxed structure of RbTlIr2 (GGA-PBE).

Structure (POSCAR):
```
RbTlIr2
1.0
0.000 3.464 3.464
3.464 0.000 3.464
3.464 3.464 0.000
Rb Tl Ir
1 1 2
direct
0.000 0.000 0.000
0.500 0.500 0.500
0.250 0.250 0.250
0.750 0.750 0.750
```

## Properties
**Formation energy from the elements**: 5.326 eV/f.u.

14.
Entry from Alexandria via LeMat-Bulk: a relaxed structure of RbTlIr2 (GGA-PBE).

Structure (POSCAR):
```
RbTlIr2
1.0
-2.489 2.489 9.602
2.489 -2.489 9.602
2.489 2.489 -9.602
Rb Tl Ir
2 2 4
direct
0.000 0.000 0.000
0.750 0.250 0.500
0.250 0.750 0.500
0.500 0.500 0.000
0.363 0.625 0.238
0.375 0.613 0.738
0.387 0.125 0.762
0.875 0.637 0.262
```

## Properties
**Formation energy from the elements**: 2.881 eV/f.u.

15.
Entry from Alexandria via LeMat-Bulk: a relaxed structure of RbTlZn2Ir (GGA-PBE).

Structure (POSCAR):
```
RbTlZn2Ir
1.0
5.025 0.000 0.000
0.000 5.025 0.000
0.000 0.000 5.274
Rb Tl Zn Ir
1 1 2 1
direct
0.000 0.000 0.000
0.500 0.500 0.000
0.000 0.500 0.500
0.500 0.000 0.500
0.500 0.500 0.500
```

## Properties
**Formation energy from the elements**: -0.367 eV/f.u.

16.
Entry from Alexandria via LeMat-Bulk: a relaxed structure of RbVIr2 (GGA-PBE).

Structure (POSCAR):
```
RbVIr2
1.0
0.000 3.301 3.301
3.301 0.000 3.301
3.301 3.301 0.000
Rb V Ir
1 1 2
direct
0.000 0.000 0.000
0.500 0.500 0.500
0.250 0.250 0.250
0.750 0.750 0.750
```

## Properties
**Formation energy from the elements**: 5.042 eV/f.u.

17.
Entry from Alexandria via LeMat-Bulk: a relaxed structure of RbVIr2 (GGA-PBE).

Structure (POSCAR):
```
RbVIr2
1.0
-3.689 3.689 3.575
3.689 -3.689 3.575
3.689 3.689 -3.575
Rb V Ir
2 2 4
direct
0.000 0.000 0.000
0.750 0.250 0.500
0.250 0.750 0.500
0.500 0.500 0.000
0.225 0.625 0.100
0.375 0.475 0.600
0.525 0.125 0.900
0.875 0.775 0.400
```

## Properties
**Formation energy from the elements**: 3.438 eV/f.u.

18.
Entry from Alexandria via LeMat-Bulk: a relaxed structure of RbV2Ir (GGA-PBE).

Structure (POSCAR):
```
RbV2Ir
1.0
-2.802 2.802 7.961
2.802 -2.802 7.961
2.802 2.802 -7.961
Rb V Ir
2 4 2
direct
0.375 0.625 0.750
0.625 0.375 0.250
0.000 0.000 0.000
0.000 0.000 0.500
0.000 0.500 0.000
0.500 0.000 0.500
0.125 0.875 0.250
0.875 0.125 0.750
```

## Properties
**Formation energy from the elements**: 4.478 eV/f.u.

19.
Entry from Alexandria via LeMat-Bulk: a relaxed structure of RbV2Ir (GGA-PBE).

Structure (POSCAR):
```
RbV2Ir
1.0
0.000 3.236 3.236
3.236 0.000 3.236
3.236 3.236 0.000
Rb V Ir
1 2 1
direct
0.000 0.000 0.000
0.250 0.250 0.250
0.750 0.750 0.750
0.500 0.500 0.500
```

## Properties
**Formation energy from the elements**: 4.992 eV/f.u.

20.
Entry from Alexandria via LeMat-Bulk: a relaxed structure of RbIr2W (GGA-PBE).

Structure (POSCAR):
```
RbIr2W
1.0
-3.759 3.759 3.613
3.759 -3.759 3.613
3.759 3.759 -3.613
Rb Ir W
2 4 2
direct
0.000 0.000 0.000
0.750 0.250 0.500
0.212 0.125 0.587
0.375 0.788 0.913
0.538 0.625 0.413
0.875 0.462 0.087
0.250 0.750 0.500
0.500 0.500 0.000
```

## Properties
**Formation energy from the elements**: 4.363 eV/f.u.

| no. | size of the total moment (μB/cell) |
| --- | --- |
| 1 | 0.0 |
| 2 | 0.0 |
| 3 | 2.9 |
| 4 | 0.0 |
| 5 | 4.1 |
| 6 | 0.0 |
| 7 | 0.0 |
| 8 | 2.7 |
| 9 | 2.2 |
| 10 | 2.7 |
| 11 | 0.0 |
| 12 | 0.0 |
| 13 | 0.0 |
| 14 | 0.0 |
| 15 | 0.0 |
| 16 | 0.9 |
| 17 | 0.0 |
| 18 | 10.9 |
| 19 | 0.0 |
| 20 | 0.0 |